1.
PuPaGeRu: optimized geometry, PBE.

Lattice parameters (Å, degrees): 3.9461 4.0117 10.9187 90.00 90.00 90.00
Space group Amm2 (No. 38)
Symmetry-distinct sites (fractional):
1 Pu 0.0000 0.0000 0.0000 [2 per cell]
2 Pa 0.5000 0.0000 0.2869 [2 per cell]
3 Ge 0.5000 0.0000 0.5756 [2 per cell]
4 Ru 0.0000 0.0000 0.7445 [2 per cell]

**Calculated total energy**: -9.906 eV per atom
**Total magnetization**: 5.80 μB per formula unit

***

2.
TlNi2S2: optimized geometry, PBE.

Lattice parameters (Å, degrees): 3.7887 3.7887 12.9344 90.00 90.00 90.00
Space group I4/mmm (No. 139)
Symmetry-distinct sites (fractional):
1 Tl 0.0000 0.0000 0.0000 [2 per cell]
2 Ni 0.0000 0.5000 0.2500 [4 per cell]
3 S 0.0000 0.0000 0.3436 [4 per cell]

**ΔE_f (raw)**: -31.6 kJ/mol of atoms
**Total magnetization**: 0.00 μB per formula unit

***

3.
TlZnGa: optimized geometry, PBE.

Lattice parameters (Å, degrees): 4.0017 4.5400 8.7968 79.76 89.90 64.60
Space group P1 (No. 1)
Symmetry-distinct sites (fractional):
1 Tl 0.0000 0.0000 0.0000 [1 per cell]
2 Tl 0.3647 0.2736 0.2829 [1 per cell]
3 Zn 0.2689 0.4601 0.8044 [1 per cell]
4 Zn 0.8199 0.3566 0.5838 [1 per cell]
5 Ga 0.0996 0.7990 0.4844 [1 per cell]
6 Ga 0.5524 0.8951 0.7094 [1 per cell]

**Calculated total energy**: -2.140 eV per atom
**Total magnetization**: 0.00 μB per formula unit

***

4.
BaSc2P: optimized geometry, PBE.

Lattice parameters (Å, degrees): 6.3568 10.6823 3.6290 90.00 90.00 90.00
Space group Cmmm (No. 65)
Symmetry-distinct sites (fractional):
1 Ba 0.0000 0.0000 0.0000 [2 per cell]
2 Sc 0.0000 0.3332 0.5000 [4 per cell]
3 P 0.0000 0.5000 0.0000 [2 per cell]

**Calculated total energy**: -5.413 eV per atom
**Total magnetization**: 0.00 μB per formula unit